This record from Alexandria via LeMat-Bulk describes an optimized crystal structure of Dy2Al5Au3. The functional is PBE-GGA.

Summary:
The value obtained for the formation enthalpy at 0 K is -0.66 eV per atom. The spin magnetization is 0.00 Bohr magnetons per cell. The calculation puts the density of states at the Fermi level at 7.74 states/eV per cell.

Cell lengths 12.7879, 12.7879, 6.9819 Å; angles 90.00, 90.00, 160.34 degrees
Atoms (fractional coordinates):
1 Dy 0.0183 0.9817 0.5000
2 Dy 0.3260 0.6740 0.4854
3 Dy 0.6740 0.3260 0.9854
4 Dy 0.9817 0.0183 0.0000
5 Al 0.1025 0.8975 0.1523
6 Al 0.2075 0.7925 0.6736
7 Al 0.2083 0.7917 0.2711
8 Al 0.3788 0.6212 0.0052
9 Al 0.4472 0.5528 0.3277
10 Al 0.5528 0.4472 0.8277
11 Al 0.6212 0.3788 0.5052
12 Al 0.7917 0.2083 0.7711
13 Al 0.7925 0.2075 0.1736
14 Al 0.8975 0.1025 0.6523
15 Au 0.1086 0.8914 0.7615
16 Au 0.2744 0.7256 0.9702
17 Au 0.4494 0.5506 0.7160
18 Au 0.5506 0.4494 0.2160
19 Au 0.7256 0.2744 0.4702
20 Au 0.8914 0.1086 0.2615

This record from Alexandria via LeMat-Bulk describes an optimized crystal structure of Pr3CoSn2. The functional is PBE-GGA.

Summary:
The value obtained for the formation enthalpy at 0 K is -0.56 eV per atom. The spin magnetization is 0.00 Bohr magnetons per cell. The calculation puts the density of states at the Fermi level at 11.45 states/eV per cell.

Cell lengths 12.7029, 4.4333, 12.0511 Å; angles 90.00, 90.00, 90.00 degrees
Atoms (fractional coordinates):
1 Pr 0.0529 0.2500 0.1291
2 Pr 0.1205 0.7500 0.5486
3 Pr 0.2348 0.2500 0.7908
4 Pr 0.2652 0.7500 0.2908
5 Pr 0.3795 0.2500 0.0486
6 Pr 0.4471 0.7500 0.6291
7 Pr 0.5529 0.2500 0.3709
8 Pr 0.6205 0.7500 0.9514
9 Pr 0.7348 0.2500 0.7092
10 Pr 0.7652 0.7500 0.2092
11 Pr 0.8795 0.2500 0.4514
12 Pr 0.9471 0.7500 0.8709
13 Co 0.1306 0.2500 0.3652
14 Co 0.3694 0.7500 0.8652
15 Co 0.6306 0.2500 0.1348
16 Co 0.8694 0.7500 0.6348
17 Sn 0.0116 0.7500 0.3128
18 Sn 0.1932 0.7500 0.9933
19 Sn 0.3068 0.2500 0.4933
20 Sn 0.4884 0.2500 0.8128
21 Sn 0.5116 0.7500 0.1872
22 Sn 0.6932 0.7500 0.5067
23 Sn 0.8068 0.2500 0.0067
24 Sn 0.9884 0.2500 0.6872

This record from Alexandria via LeMat-Bulk describes an optimized crystal structure of ZnN2Cl4. The functional is PBE-GGA.

Summary:
The spin magnetization is 16.00 Bohr magnetons per cell. The calculation puts the uncorrected formation energy at 0.46 eV per atom.

Cell lengths 7.4956, 8.7861, 13.8919 Å; angles 90.00, 90.00, 90.00 degrees
Atoms (fractional coordinates):
1 Zn 0.0856 0.2500 0.1346
2 Zn 0.4144 0.7500 0.6346
3 Zn 0.5856 0.2500 0.3654
4 Zn 0.9144 0.7500 0.8654
5 N 0.0788 0.7500 0.3865
6 N 0.1946 0.7500 0.8623
7 N 0.3054 0.2500 0.3623
8 N 0.4212 0.2500 0.8865
9 N 0.5788 0.7500 0.1135
10 N 0.6946 0.7500 0.6377
11 N 0.8054 0.2500 0.1377
12 N 0.9212 0.2500 0.6135
13 Cl 0.1612 0.2500 0.4450
14 Cl 0.1759 0.0200 0.1340
15 Cl 0.1759 0.4800 0.1340
16 Cl 0.2164 0.2500 0.8551
17 Cl 0.2836 0.7500 0.3551
18 Cl 0.3241 0.5200 0.6340
19 Cl 0.3241 0.9800 0.6340
20 Cl 0.3388 0.7500 0.9450
21 Cl 0.6612 0.2500 0.0550
22 Cl 0.6759 0.0200 0.3660
23 Cl 0.6759 0.4800 0.3660
24 Cl 0.7164 0.2500 0.6449
25 Cl 0.7836 0.7500 0.1449
26 Cl 0.8241 0.5200 0.8660
27 Cl 0.8241 0.9800 0.8660
28 Cl 0.8388 0.7500 0.5550

This record from Alexandria via LeMat-Bulk describes an optimized crystal structure of Cd5Au. The functional is PBE-GGA.

Summary:
The value obtained for the formation enthalpy at 0 K is 0.11 eV per atom. The spin magnetization is 0.00 Bohr magnetons per cell. The calculation puts the density of states at the Fermi level at 1.26 states/eV per cell.

Cell lengths 5.7156, 5.7156, 5.7156 Å; angles 60.00, 60.00, 60.00 degrees
Atoms (fractional coordinates):
1 Cd 0.0000 0.0000 0.0000
2 Cd 0.3753 0.3753 0.3753
3 Cd 0.3753 0.3753 0.8742
4 Cd 0.3753 0.8742 0.3753
5 Cd 0.8742 0.3753 0.3753
6 Au 0.7500 0.7500 0.7500

This record from Alexandria via LeMat-Bulk describes an optimized crystal structure of TiCuWSe2. The functional is PBE-GGA.

Summary:
The spin magnetization is 3.57 Bohr magnetons per cell. The calculation puts the density of states at the Fermi level at 4.36 states/eV per cell. The calculation puts the uncorrected formation energy at 1.00 eV per atom.

Cell lengths 4.8084, 4.8084, 4.6175 Å; angles 90.00, 90.00, 90.00 degrees
Atoms (fractional coordinates):
1 Ti 0.0000 0.0000 0.0000
2 Cu 0.0000 0.0000 0.5000
3 W 0.5000 0.5000 0.5000
4 Se 0.0000 0.5000 0.0000
5 Se 0.5000 0.0000 0.0000

This record from Alexandria via LeMat-Bulk describes an optimized crystal structure of LiIrBr2. The functional is PBE-GGA.

Summary:
The spin magnetization is 0.00 Bohr magnetons per cell. The calculation puts the density of states at the Fermi level at 1.97 states/eV per cell. The calculation puts the uncorrected formation energy at -0.04 eV per atom.

Cell lengths 7.8223, 7.8223, 7.8223 Å; angles 28.98, 28.98, 28.98 degrees
Atoms (fractional coordinates):
1 Li 0.0000 0.0000 0.0000
2 Ir 0.2208 0.2208 0.2208
3 Br 0.5167 0.5167 0.5167
4 Br 0.7053 0.7053 0.7053

This record from Alexandria via LeMat-Bulk describes an optimized crystal structure of Pu4InBi2. The functional is PBE-GGA.

Summary:
The value obtained for the formation enthalpy at 0 K is 0.01 eV per atom. The spin magnetization is 24.68 Bohr magnetons per cell. The calculation puts the density of states at the Fermi level at 29.28 states/eV per cell.

Cell lengths 7.1597, 7.1597, 7.1597 Å; angles 129.60, 129.60, 74.05 degrees
Atoms (fractional coordinates):
1 Pu 0.0000 0.5000 0.5000
2 Pu 0.2500 0.7500 0.5000
3 Pu 0.5000 0.0000 0.5000
4 Pu 0.7500 0.2500 0.5000
5 In 0.0000 0.0000 0.0000
6 Bi 0.3536 0.3536 0.0000
7 Bi 0.6464 0.6464 0.0000

This record from Alexandria via LeMat-Bulk describes an optimized crystal structure of ScAl2Ir2. The functional is PBE-GGA.

Summary:
The value obtained for the formation enthalpy at 0 K is -0.84 eV per atom. The spin magnetization is 0.00 Bohr magnetons per cell. The calculation puts the density of states at the Fermi level at 5.45 states/eV per cell.

Cell lengths 7.3938, 7.3938, 2.8956 Å; angles 90.00, 90.00, 90.00 degrees
Atoms (fractional coordinates):
1 Sc 0.0000 0.0000 0.0000
2 Sc 0.5000 0.5000 0.0000
3 Al 0.1449 0.3551 0.5000
4 Al 0.3551 0.8551 0.5000
5 Al 0.6449 0.1449 0.5000
6 Al 0.8551 0.6449 0.5000
7 Ir 0.1507 0.6507 0.0000
8 Ir 0.3493 0.1507 0.0000
9 Ir 0.6507 0.8493 0.0000
10 Ir 0.8493 0.3493 0.0000

This record from Alexandria via LeMat-Bulk describes an optimized crystal structure of HfTcGe. The functional is PBE-GGA.

Summary:
The value obtained for the formation enthalpy at 0 K is -0.37 eV per atom. The spin magnetization is 0.00 Bohr magnetons per cell. The calculation puts the density of states at the Fermi level at 2.28 states/eV per cell.

Cell lengths 5.2738, 5.2738, 5.2738 Å; angles 143.99, 143.99, 51.85 degrees
Atoms (fractional coordinates):
1 Hf 0.0000 0.0000 0.0000
2 Tc 0.6828 0.6828 0.0000
3 Ge 0.3106 0.3106 0.0000

This record from Alexandria via LeMat-Bulk describes an optimized crystal structure of CaZr2I. The functional is PBE-GGA.

Summary:
The spin magnetization is 1.13 Bohr magnetons per cell. The calculation puts the density of states at the Fermi level at 6.27 states/eV per cell. The calculation puts the uncorrected formation energy at 0.60 eV per atom.

Cell lengths 5.2588, 5.2588, 5.2588 Å; angles 60.00, 60.00, 60.00 degrees
Atoms (fractional coordinates):
1 Ca 0.0000 0.0000 0.0000
2 Zr 0.2500 0.2500 0.2500
3 Zr 0.7500 0.7500 0.7500
4 I 0.5000 0.5000 0.5000

This record from Alexandria via LeMat-Bulk describes an optimized crystal structure of ZrBe9Tc2. The functional is PBE-GGA.

Summary:
The value obtained for the formation enthalpy at 0 K is -0.32 eV per atom. The spin magnetization is 0.00 Bohr magnetons per cell. The calculation puts the density of states at the Fermi level at 5.84 states/eV per cell.

Cell lengths 7.4884, 7.4884, 7.4884 Å; angles 34.44, 34.44, 34.44 degrees
Atoms (fractional coordinates):
1 Zr 0.0000 0.0000 0.0000
2 Be 0.0812 0.5875 0.5875
3 Be 0.3331 0.3331 0.3331
4 Be 0.4125 0.4125 0.9188
5 Be 0.4125 0.9188 0.4125
6 Be 0.5000 0.5000 0.5000
7 Be 0.5875 0.0812 0.5875
8 Be 0.5875 0.5875 0.0812
9 Be 0.6669 0.6669 0.6669
10 Be 0.9188 0.4125 0.4125
11 Tc 0.1442 0.1442 0.1442
12 Tc 0.8558 0.8558 0.8558

This record from Alexandria via LeMat-Bulk describes an optimized crystal structure of Na3Mg. The functional is PBE-GGA.

Summary:
The value obtained for the formation enthalpy at 0 K is 0.42 eV per atom. The spin magnetization is 0.00 Bohr magnetons per cell. The calculation puts the density of states at the Fermi level at 2.11 states/eV per cell.

Cell lengths 6.2455, 6.2455, 6.2455 Å; angles 90.00, 90.00, 90.00 degrees
Atoms (fractional coordinates):
1 Na 0.0000 0.0000 0.5000
2 Na 0.0000 0.5000 0.0000
3 Na 0.5000 0.0000 0.0000
4 Mg 0.0000 0.0000 0.0000

This record from Alexandria via LeMat-Bulk describes an optimized crystal structure of Zn4Ni5Ru. The functional is PBE-GGA.

Summary:
The value obtained for the formation enthalpy at 0 K is -0.16 eV per atom. The spin magnetization is 0.43 Bohr magnetons per cell. The calculation puts the density of states at the Fermi level at 8.13 states/eV per cell.

Cell lengths 2.6638, 2.6638, 17.1633 Å; angles 90.00, 90.00, 90.00 degrees
Atoms (fractional coordinates):
1 Zn 0.0000 0.0000 0.0986
2 Zn 0.0000 0.0000 0.2957
3 Zn 0.0000 0.0000 0.7043
4 Zn 0.0000 0.0000 0.9014
5 Ni 0.5000 0.5000 0.0000
6 Ni 0.5000 0.5000 0.1971
7 Ni 0.5000 0.5000 0.3974
8 Ni 0.5000 0.5000 0.6026
9 Ni 0.5000 0.5000 0.8029
10 Ru 0.0000 0.0000 0.5000

This record from Alexandria via LeMat-Bulk describes an optimized crystal structure of RbCo2As2. The functional is PBE-GGA.

Summary:
The value obtained for the formation enthalpy at 0 K is 0.11 eV per atom. The spin magnetization is 0.00 Bohr magnetons per cell. The calculation puts the density of states at the Fermi level at 3.45 states/eV per cell.

Cell lengths 6.7932, 6.7932, 6.7932 Å; angles 143.24, 143.24, 52.96 degrees
Atoms (fractional coordinates):
1 Rb 0.0000 0.0000 0.0000
2 Co 0.3295 0.3295 0.0000
3 Co 0.6705 0.6705 0.0000
4 As 0.2500 0.7500 0.5000
5 As 0.7500 0.2500 0.5000

This record from Alexandria via LeMat-Bulk describes an optimized crystal structure of CrMo2Br. The functional is PBE-GGA.

Summary:
The spin magnetization is 0.00 Bohr magnetons per cell. The calculation puts the density of states at the Fermi level at 3.20 states/eV per cell. The calculation puts the uncorrected formation energy at 0.75 eV per atom.

Cell lengths 5.0121, 5.0121, 4.5903 Å; angles 107.97, 107.97, 35.16 degrees
Atoms (fractional coordinates):
1 Cr 0.0000 0.0000 0.0000
2 Mo 0.4998 0.4998 0.4246
3 Mo 0.7190 0.7190 0.1080
4 Br 0.2725 0.2725 0.6729

This record from Alexandria via LeMat-Bulk describes an optimized crystal structure of ZrZnO3. The functional is PBE-GGA.

Summary:
The spin magnetization is 0.00 Bohr magnetons per cell. The calculation puts the density of states at the Fermi level at 1.06 states/eV per cell. The calculation puts the uncorrected formation energy at -1.82 eV per atom.

Cell lengths 4.1024, 4.1024, 4.1024 Å; angles 90.00, 90.00, 90.00 degrees
Atoms (fractional coordinates):
1 Zr 0.0000 0.0000 0.0000
2 Zn 0.5000 0.5000 0.5000
3 O 0.0000 0.0000 0.5000
4 O 0.0000 0.5000 0.0000
5 O 0.5000 0.0000 0.0000

This record from Alexandria via LeMat-Bulk describes an optimized crystal structure of CeLuCdSn. The functional is PBE-GGA.

Summary:
The value obtained for the formation enthalpy at 0 K is -0.40 eV per atom. The spin magnetization is 1.06 Bohr magnetons per cell. The calculation puts the density of states at the Fermi level at 7.95 states/eV per cell.

Cell lengths 5.3131, 5.3131, 5.3131 Å; angles 60.00, 60.00, 60.00 degrees
Atoms (fractional coordinates):
1 Ce 0.0000 0.0000 0.0000
2 Lu 0.5000 0.5000 0.5000
3 Cd 0.7500 0.7500 0.7500
4 Sn 0.2500 0.2500 0.2500

This record from Alexandria via LeMat-Bulk describes an optimized crystal structure of RbNp2Pd2S6. The functional is PBE-GGA.

Summary:
The spin magnetization is 4.64 Bohr magnetons per cell. The calculation puts the density of states at the Fermi level at 24.02 states/eV per cell. The calculation puts the uncorrected formation energy at -0.86 eV per atom.

Cell lengths 6.5834, 7.1604, 7.3123 Å; angles 61.28, 70.49, 63.81 degrees
Atoms (fractional coordinates):
1 Rb 0.0000 0.0000 0.0000
2 Np 0.0130 0.3274 0.3247
3 Np 0.9870 0.6726 0.6753
4 Pd 0.4825 0.7312 0.3468
5 Pd 0.5175 0.2688 0.6532
6 S 0.2431 0.5313 0.3752
7 S 0.2429 0.9182 0.5782
8 S 0.2561 0.3256 0.9531
9 S 0.7439 0.6744 0.0469
10 S 0.7571 0.0818 0.4218
11 S 0.7569 0.4687 0.6248

This record from Alexandria via LeMat-Bulk describes an optimized crystal structure of ZrBeCr. The functional is PBE-GGA.

Summary:
The value obtained for the formation enthalpy at 0 K is 0.16 eV per atom. The spin magnetization is 1.81 Bohr magnetons per cell. The calculation puts the density of states at the Fermi level at 2.75 states/eV per cell.

Cell lengths 5.0027, 5.0027, 5.0027 Å; angles 143.33, 143.33, 52.83 degrees
Atoms (fractional coordinates):
1 Zr 0.0000 0.0000 0.0000
2 Be 0.3064 0.3064 0.0000
3 Cr 0.6967 0.6967 0.0000

This record from Alexandria via LeMat-Bulk describes an optimized crystal structure of Rb2HfMnRe. The functional is PBE-GGA.

Summary:
The value obtained for the formation enthalpy at 0 K is 2.40 eV per atom. The spin magnetization is 6.04 Bohr magnetons per cell. The calculation puts the density of states at the Fermi level at 6.60 states/eV per cell.

Cell lengths 6.8680, 6.8680, 4.6207 Å; angles 90.00, 90.00, 90.00 degrees
Atoms (fractional coordinates):
1 Rb 0.0000 0.5000 0.0000
2 Rb 0.5000 0.0000 0.0000
3 Hf 0.0000 0.0000 0.0000
4 Mn 0.0000 0.0000 0.5000
5 Re 0.5000 0.5000 0.5000